[1]
CaHf2Zn9: optimized geometry, PBE-GGA.

## Properties
Its formation energy is -206 meV per atom. The calculation puts the density of states at the Fermi level at 0.691 states/eV/atom.

Lattice parameters (Å, degrees): 5.3009 5.3009 8.9406 72.76 72.76 60.00
Each line ends with the local moment (μB).
Atoms (fractional coordinates):
Zn 0.0778 0.5904 0.7413  0.01
Zn 0.5904 0.0778 0.7413  0.01
Zn 0.4096 0.4096 0.2587  0.01
Zn 0.3356 0.3356 0.9932  0.01
Hf 0.1462 0.1462 0.5613  0.35
Zn 0.5000 0.5000 0.5000  0.00
Ca 0.0000 0.0000 0.0000  0.01
Zn 0.4096 0.9222 0.2587  0.01
Zn 0.6644 0.6644 0.0068  0.01
Zn 0.9222 0.4096 0.2587  0.01
Zn 0.5904 0.5904 0.7413  0.01
Hf 0.8538 0.8538 0.4387  0.35

[2]
K2RbPb: optimized geometry, PBE-GGA.

## Properties
Its formation energy is -39 meV per atom. Its relative energy among the computed polymorphs is 0.0076 eV per atom. The calculation puts the density of states at the Fermi level at 0.687 states/eV/atom.

Lattice parameters (Å, degrees): 6.4873 6.4873 6.4929 60.03 60.03 60.00
Each line ends with the local moment (μB).
Atoms (fractional coordinates):
Pb 0.7494 0.7494 0.7518  0.28
K 0.0002 0.0002 0.9994  0.01
K 0.2504 0.2504 0.2487  0.00
Rb 0.5000 0.5000 0.5001  0.02

[3]
Ba2Na5Pb12: optimized geometry, PBE-GGA.

## Properties
Its formation energy is -219 meV per atom. The calculation puts the density of states at the Fermi level at 0.522 states/eV/atom.

Lattice parameters (Å, degrees): 8.6468 8.6468 8.6468 80.96 80.96 80.96
Atoms (fractional coordinates):
Pb 0.3508 0.3508 0.8464
Pb 0.2961 0.7039 0.0000
Na 0.0971 0.0971 0.0971
Pb 0.6492 0.6492 0.1536
Ba 0.6412 0.6412 0.6412
Pb 0.2961 0.0000 0.7039
Pb 0.7039 0.0000 0.2961
Pb 0.3508 0.8464 0.3508
Na 0.0000 0.5000 0.0000
Na 0.9029 0.9029 0.9029
Na 0.5000 0.0000 0.0000
Ba 0.3588 0.3588 0.3588
Pb 0.7039 0.2961 0.0000
Pb 0.8464 0.3508 0.3508
Pb 0.1536 0.6492 0.6492
Pb 0.0000 0.2961 0.7039
Pb 0.6492 0.1536 0.6492
Na 0.0000 0.0000 0.5000
Pb 0.0000 0.7039 0.2961

[4]
MgSiTc2: optimized geometry, PBE-GGA.

## Properties
Its relative energy among the computed polymorphs is 0.1390 eV per atom. The calculation puts the raw formation energy at 0.0222 eV/atom. The calculation puts the density of states at the Fermi level at 1.104 states/eV/atom.

Lattice parameters (Å, degrees): 4.3040 4.3040 4.3040 60.00 60.00 60.00
Atoms (fractional coordinates):
Mg 0.0000 0.0000 0.0000
Tc 0.2500 0.2500 0.2500
Si 0.5000 0.5000 0.5000
Tc 0.7500 0.7500 0.7500

[5]
YHg2Au2: optimized geometry, PBE-GGA.

## Properties
Its formation energy is -264 meV per atom. Its relative energy among the computed polymorphs is 0.0799 eV per atom. The calculation puts the density of states at the Fermi level at 0.698 states/eV/atom.

Lattice parameters (Å, degrees): 7.6251 7.6251 3.9916 90.00 90.00 90.00
Atoms (fractional coordinates):
Y 0.0000 0.0000 0.0000
Au 0.3708 0.8708 0.0000
Au 0.1292 0.3708 0.0000
Au 0.8708 0.6292 0.0000
Au 0.6292 0.1292 0.0000
Hg 0.8267 0.3267 0.5000
Hg 0.1733 0.6733 0.5000
Hg 0.3267 0.1733 0.5000
Y 0.5000 0.5000 0.0000
Hg 0.6733 0.8267 0.5000

[6]
Li2InRh: optimized geometry, PBE-GGA.

## Properties
Its formation energy is -258 meV per atom. The calculation puts the density of states at the Fermi level at 0.288 states/eV/atom.

Lattice parameters (Å, degrees): 3.2243 3.2243 6.2209 90.00 90.00 90.00
Atoms (fractional coordinates):
In 0.5000 0.5000 0.7290
Rh 0.0000 0.0000 0.4817
Li 0.5000 0.5000 0.2683
Li 0.0000 0.0000 0.0211

[7]
MnCoCu2: optimized geometry, PBE-GGA.

## Properties
Its formation energy is 241 meV per atom. The calculation puts the density of states at the Fermi level at 1.014 states/eV/atom.

Lattice parameters (Å, degrees): 2.4626 2.4626 8.3756 90.00 90.00 110.16
Each line ends with the local moment (μB).
Atoms (fractional coordinates):
Cu 0.0000 0.0000 0.9971  0.08
Mn 0.5000 0.5000 0.2500  2.55
Cu 0.0000 0.0000 0.5029  0.08
Co 0.5000 0.5000 0.7500  1.73

[8]
VFeTe: optimized geometry, PBE-GGA.

## Properties
The calculation puts the raw formation energy at -0.0768 eV/atom. The calculation puts the density of states at the Fermi level at 0.656 states/eV/atom.

Lattice parameters (Å, degrees): 4.1176 4.1176 4.1176 60.00 60.00 60.00
Each line ends with the local moment (μB).
Atoms (fractional coordinates):
Fe 0.0000 0.0000 0.0000  -0.54
V 0.2500 0.2500 0.2500  1.40
Te 0.7500 0.7500 0.7500  -0.01

[9]
Cs2LaZn: optimized geometry, PBE-GGA.

## Properties
Its formation energy is 767 meV per atom. The calculation puts the density of states at the Fermi level at 1.697 states/eV/atom.

Lattice parameters (Å, degrees): 6.1993 6.1993 6.1993 60.00 60.00 60.00
Atoms (fractional coordinates):
Cs 0.7500 0.7500 0.7500
Zn 0.0000 0.0000 0.0000
Cs 0.2500 0.2500 0.2500
La 0.5000 0.5000 0.5000

[10]
AcSbPb2O8: optimized geometry, PBE-GGA.

## Properties
The calculation puts the raw formation energy at -1.4844 eV/atom. The calculation puts the density of states at the Fermi level at 0.143 states/eV/atom.

Lattice parameters (Å, degrees): 5.0704 5.0773 7.1452 90.00 90.00 87.91
Atoms (fractional coordinates):
O 0.3324 0.3203 0.5000
O 0.1869 0.8074 0.7915
O 0.8131 0.1926 0.2085
O 0.2915 0.2855 0.0000
O 0.8131 0.1926 0.7915
Pb 0.5000 0.5000 0.2380
O 0.7085 0.7145 0.0000
Ac 0.0000 0.0000 0.5000
Pb 0.5000 0.5000 0.7620
O 0.6676 0.6797 0.5000
Sb 0.0000 0.0000 0.0000
O 0.1869 0.8074 0.2085

[11]
TmSc2Se: optimized geometry, PBE-GGA.

## Properties
Its relative energy among the computed polymorphs is 0.1333 eV per atom. The calculation puts the raw formation energy at -0.6661 eV/atom. The calculation puts the density of states at the Fermi level at 1.694 states/eV/atom.

Lattice parameters (Å, degrees): 6.0679 6.2173 10.7889 90.00 90.00 90.00
Atoms (fractional coordinates):
Se 0.0000 0.7500 0.4128
Tm 0.2500 0.5103 0.2500
Sc 0.7084 0.9208 0.5747
Sc 0.2916 0.0792 0.4253
Se 0.5000 0.7500 0.0872
Sc 0.2916 0.5792 0.5747
Tm 0.7500 0.4897 0.7500
Sc 0.2084 0.5792 0.9253
Sc 0.2084 0.0792 0.0747
Se 0.0000 0.2500 0.5872
Tm 0.2500 0.0103 0.7500
Tm 0.7500 0.9897 0.2500
Sc 0.7916 0.9208 0.9253
Sc 0.7084 0.4208 0.4253
Sc 0.7916 0.4208 0.0747
Se 0.5000 0.2500 0.9128

[12]
LiUSnRh: optimized geometry, PBE-GGA.

## Properties
Its formation energy is -312 meV per atom. The calculation puts the density of states at the Fermi level at 2.129 states/eV/atom.

Lattice parameters (Å, degrees): 4.7370 4.7370 4.7370 60.00 60.00 60.00
Each line ends with the local moment (μB).
Atoms (fractional coordinates):
Li 0.0000 0.0000 0.0000  0.03
Rh 0.5000 0.5000 0.5000  -0.17
U 0.2500 0.2500 0.2500  2.05
Sn 0.7500 0.7500 0.7500  -0.04

[13]
BaInP2: optimized geometry, PBE-GGA.

## Properties
Its formation energy is -7 meV per atom. The calculation puts the density of states at the Fermi level at 0.797 states/eV/atom.

Lattice parameters (Å, degrees): 6.2515 6.2515 6.2515 139.27 139.27 58.96
Atoms (fractional coordinates):
Ba 0.5000 0.5000 0.0000
P 0.0000 0.0000 0.0000
In 0.7500 0.2500 0.5000
P 0.2500 0.7500 0.5000

[14]
Ce3PuNp2N6: optimized geometry, PBE-GGA.

## Properties
The calculation puts the raw formation energy at -1.3334 eV/atom. The calculation puts the density of states at the Fermi level at 2.146 states/eV/atom.

Lattice parameters (Å, degrees): 6.0811 6.0811 6.1048 99.56 99.56 119.98
Each line ends with the local moment (μB).
Atoms (fractional coordinates):
N 0.2653 0.2653 0.7724  -0.13
Ce 0.1654 0.8346 0.5000  0.57
Ce 0.8346 0.1654 0.5000  0.57
N 0.5823 0.9233 0.7702  -0.13
N 0.7347 0.7347 0.2276  -0.13
Np 0.3331 0.6669 0.0000  3.09
N 0.0767 0.4177 0.2298  -0.13
Pu 0.0000 0.0000 0.0000  4.74
N 0.9233 0.5823 0.7702  -0.13
N 0.4177 0.0767 0.2298  -0.13
Ce 0.5000 0.5000 0.5000  0.57
Np 0.6669 0.3331 0.0000  3.09

[15]
Sr3DyAl2O8: optimized geometry, PBE-GGA.

## Properties
The calculation puts the raw formation energy at -2.8518 eV/atom. The calculation puts the density of states at the Fermi level at 0.779 states/eV/atom.

Lattice parameters (Å, degrees): 5.8329 5.8329 7.2321 90.00 90.00 120.00
Each line ends with the local moment (μB).
Atoms (fractional coordinates):
O 0.6539 0.8270 0.3100  0.06
O 0.1730 0.8270 0.3100  0.06
O 0.3333 0.6667 0.9706  0.26
Al 0.6667 0.3333 0.7892  0.00
O 0.3461 0.1730 0.6900  0.06
O 0.1730 0.3461 0.3100  0.06
O 0.8270 0.1730 0.6900  0.06
Sr 0.0000 0.0000 0.0000  0.00
O 0.8270 0.6539 0.6900  0.06
Dy 0.0000 0.0000 0.5000  -0.01
O 0.6667 0.3333 0.0294  0.26
Al 0.3333 0.6667 0.2108  0.00
Sr 0.3333 0.6667 0.6522  0.00
Sr 0.6667 0.3333 0.3478  0.00

[16]
Sr2IrCCl: optimized geometry, PBE-GGA.

## Properties
The calculation puts the raw formation energy at -0.8214 eV/atom. The calculation puts the density of states at the Fermi level at 0.341 states/eV/atom.

Lattice parameters (Å, degrees): 5.5296 5.5296 3.8627 90.00 90.00 90.00
Atoms (fractional coordinates):
Sr 0.0000 0.5000 0.0000
C 0.0000 0.0000 0.0000
Ir 0.0000 0.0000 0.5000
Sr 0.5000 0.0000 0.0000
Cl 0.5000 0.5000 0.5000

[17]
BaPu2AlO8: optimized geometry, PBE-GGA.

## Properties
The calculation puts the raw formation energy at -2.5990 eV/atom. The calculation puts the density of states at the Fermi level at 0.620 states/eV/atom.

Lattice parameters (Å, degrees): 5.0320 5.0319 7.1126 87.46 87.48 83.68
Each line ends with the local moment (μB).
Atoms (fractional coordinates):
O 0.7957 0.1911 0.1888  -0.11
O 0.8098 0.2054 0.8110  -0.11
Pu 0.5106 0.5105 0.2300  3.02
O 0.6896 0.6905 0.0048  -0.15
O 0.3438 0.3420 0.4632  -0.13
Al 0.0000 0.0000 0.0000  0.00
O 0.6562 0.6580 0.5368  -0.13
O 0.3104 0.3095 0.9952  -0.15
Ba 0.0000 0.0000 0.5000  -0.01
Pu 0.4894 0.4895 0.7700  3.02
O 0.2043 0.8089 0.8112  -0.11
O 0.1902 0.7946 0.1890  -0.11

[18]
Tb2Pm4PrNd: optimized geometry, PBE-GGA.

## Properties
Its formation energy is 16 meV per atom. The calculation puts the density of states at the Fermi level at 1.507 states/eV/atom.

Lattice parameters (Å, degrees): 3.6446 6.2887 12.1023 79.84 90.00 90.00
Atoms (fractional coordinates):
Tb 0.5000 0.0000 0.5000
Tb 0.0000 0.0000 0.0000
Nd 0.0000 0.5000 0.5000
Pm 0.5000 0.2482 0.7505
Pm 0.5000 0.7518 0.2495
Pm 0.0000 0.2493 0.2514
Pr 0.5000 0.5000 0.0000
Pm 0.0000 0.7507 0.7486

[19]
K3ZnNi: optimized geometry, PBE-GGA.

## Properties
Its formation energy is 564 meV per atom. The calculation puts the density of states at the Fermi level at 1.205 states/eV/atom.

Lattice parameters (Å, degrees): 6.1183 6.1183 6.1183 90.00 90.00 90.00
Atoms (fractional coordinates):
Ni 0.0000 0.0000 0.0000
K 0.5000 0.0000 0.0000
K 0.0000 0.5000 0.0000
K 0.0000 0.0000 0.5000
Zn 0.5000 0.5000 0.5000

[20]
ReMoIr2: optimized geometry, PBE-GGA.

## Properties
Its formation energy is -98 meV per atom. Its relative energy among the computed polymorphs is 0.2314 eV per atom. The calculation puts the density of states at the Fermi level at 1.029 states/eV/atom.

Lattice parameters (Å, degrees): 9.1297 9.1297 9.1297 17.44 17.44 17.44
Atoms (fractional coordinates):
Ir 0.5009 0.5009 0.5009
Re 0.2500 0.2500 0.2500
Mo 0.7500 0.7500 0.7500
Ir 0.9991 0.9991 0.9991

It is found that the total DFT energy (no corrections) values, taken in the order of the records, are -35.9, -7.0, -59.1, -27.7, -29.9, -15.0, -23.5, -21.0, -4.8, -73.1, -93.1, -25.8, -15.5, -124.0, -96.7, -27.4, -105.2, -37.7, -7.5, -41.4 eV for the cell shown.
It is found that the magnetic moment values, taken in the order of the records, are 1.2, 1.0, 0.0, 0.0, 0.0, 0.0, 4.4, 1.0, 0.0, 0.0, 0.0, 2.0, 0.0, 12.9, 1.0, 0.0, 5.0, 0.0, 0.0, 0.0 μB/f.u..